(1)
The following is a SCAN calculation of SrHfSCl2 at its PBEsol-relaxed geometry, from Alexandria via LeMat-Bulk.

```
data_SrHfSCl2
_chemical_formula_sum 'Sr1 Hf1 S1 Cl2'
_space_group_name_H-M_alt 'P 1'
_space_group_IT_number 1
_space_group_name_Hall 'P 1'
_cell_length_a 4.8978
_cell_length_b 4.8978
_cell_length_c 4.9282
_cell_angle_alpha 90.00
_cell_angle_beta 90.00
_cell_angle_gamma 90.00
loop_
_atom_site_label
_atom_site_type_symbol
_atom_site_fract_x
_atom_site_fract_y
_atom_site_fract_z
_atom_site_occupancy
Sr1 Sr 0.0000 0.0000 0.0000 1
Hf1 Hf 0.5000 0.5000 0.5000 1
S1 S 0.5000 0.5000 0.0000 1
Cl1 Cl 0.0000 0.5000 0.5000 1
Cl2 Cl 0.5000 0.0000 0.5000 1
```

Results
Its uncorrected formation energy is -1.56 eV/atom. Its symmetry is P4/mmm, No. 123.

---

(2)
The following is a SCAN calculation of Mn2CoBr at its PBEsol-relaxed geometry, from Alexandria via LeMat-Bulk.

```
data_Mn2CoBr
_chemical_formula_sum 'Mn2 Co1 Br1'
_space_group_name_H-M_alt 'P 1'
_space_group_IT_number 1
_space_group_name_Hall 'P 1'
_cell_length_a 3.0468
_cell_length_b 3.0468
_cell_length_c 6.6581
_cell_angle_alpha 90.00
_cell_angle_beta 90.00
_cell_angle_gamma 90.00
loop_
_atom_site_label
_atom_site_type_symbol
_atom_site_fract_x
_atom_site_fract_y
_atom_site_fract_z
_atom_site_occupancy
Mn1 Mn 0.0000 0.0000 0.2022 1
Mn2 Mn 0.0000 0.0000 0.7978 1
Co1 Co 0.5000 0.5000 0.0000 1
Br1 Br 0.5000 0.5000 0.5000 1
```

Results
Its uncorrected formation energy is -0.04 eV/atom. The value obtained for the offset from the most stable computed form is 0.022 eV/atom. Its symmetry is P4/mmm, No. 123.

---

(3)
The following is a SCAN calculation of BeCoRu2 at its PBEsol-relaxed geometry, from Alexandria via LeMat-Bulk.

```
data_BeCoRu2
_chemical_formula_sum 'Be1 Co1 Ru2'
_space_group_name_H-M_alt 'P 1'
_space_group_IT_number 1
_space_group_name_Hall 'P 1'
_cell_length_a 4.6618
_cell_length_b 4.6618
_cell_length_c 2.5731
_cell_angle_alpha 102.00
_cell_angle_beta 102.00
_cell_angle_gamma 114.52
loop_
_atom_site_label
_atom_site_type_symbol
_atom_site_fract_x
_atom_site_fract_y
_atom_site_fract_z
_atom_site_occupancy
Be1 Be 0.0000 0.0000 0.0000 1
Co1 Co 0.5000 0.5000 0.0000 1
Ru1 Ru 0.0000 0.5000 0.5000 1
Ru2 Ru 0.5000 0.0000 0.5000 1
```

Results
Its formation energy is 0.138 eV/atom. Its symmetry is C2/m, No. 12.

---

(4)
The following is a SCAN calculation of CuP2Ir at its PBEsol-relaxed geometry, from Alexandria via LeMat-Bulk.

```
data_CuP2Ir
_chemical_formula_sum 'Cu1 P2 Ir1'
_space_group_name_H-M_alt 'P 1'
_space_group_IT_number 1
_space_group_name_Hall 'P 1'
_cell_length_a 2.8104
_cell_length_b 2.8104
_cell_length_c 7.1815
_cell_angle_alpha 90.00
_cell_angle_beta 90.00
_cell_angle_gamma 90.00
loop_
_atom_site_label
_atom_site_type_symbol
_atom_site_fract_x
_atom_site_fract_y
_atom_site_fract_z
_atom_site_occupancy
Cu1 Cu 0.0000 0.0000 0.0000 1
P1 P 0.0000 0.0000 0.4574 1
P2 P 0.5000 0.5000 0.8062 1
Ir1 Ir 0.5000 0.5000 0.2710 1
```

Results
Its formation energy is 0.133 eV/atom. The value obtained for the offset from the most stable computed form is 0.325 eV/atom. Its symmetry is P4mm, No. 99.

---

(5)
The following is a SCAN calculation of LiZn2Cl at its PBEsol-relaxed geometry, from Alexandria via LeMat-Bulk.

```
data_LiZn2Cl
_chemical_formula_sum 'Li1 Zn2 Cl1'
_space_group_name_H-M_alt 'P 1'
_space_group_IT_number 1
_space_group_name_Hall 'P 1'
_cell_length_a 8.1046
_cell_length_b 8.1046
_cell_length_c 8.1046
_cell_angle_alpha 23.01
_cell_angle_beta 23.01
_cell_angle_gamma 23.01
loop_
_atom_site_label
_atom_site_type_symbol
_atom_site_fract_x
_atom_site_fract_y
_atom_site_fract_z
_atom_site_occupancy
Li1 Li 0.0000 0.0000 0.0000 1
Zn1 Zn 0.2481 0.2481 0.2481 1
Zn2 Zn 0.7519 0.7519 0.7519 1
Cl1 Cl 0.5000 0.5000 0.5000 1
```

Results
Its uncorrected formation energy is -0.29 eV/atom. Its symmetry is R-3m, No. 166.

---

(6)
The following is a SCAN calculation of CaTlZn2P at its PBEsol-relaxed geometry, from Alexandria via LeMat-Bulk.

```
data_CaTlZn2P
_chemical_formula_sum 'Ca1 Tl1 Zn2 P1'
_space_group_name_H-M_alt 'P 1'
_space_group_IT_number 1
_space_group_name_Hall 'P 1'
_cell_length_a 5.2636
_cell_length_b 5.2636
_cell_length_c 5.7556
_cell_angle_alpha 90.00
_cell_angle_beta 90.00
_cell_angle_gamma 90.00
loop_
_atom_site_label
_atom_site_type_symbol
_atom_site_fract_x
_atom_site_fract_y
_atom_site_fract_z
_atom_site_occupancy
Ca1 Ca 0.0000 0.0000 0.0000 1
Tl1 Tl 0.0000 0.0000 0.5000 1
Zn1 Zn 0.0000 0.5000 0.0000 1
Zn2 Zn 0.5000 0.0000 0.0000 1
P1 P 0.5000 0.5000 0.5000 1
```

Results
Its formation energy is 1.140 eV/atom. Its symmetry is P4/mmm, No. 123.

---

Magnetization per entry: 0.00, 9.84, 2.52, 0.00, 0.00, 0.44 μB/f.u.